[1]
Here is crystalline NaYAu2Se at its relaxed geometry from Alexandria. Energies are from PBE-GGA.

Cell lengths 5.300, 7.074, 5.300 Å; angles 90.00, 90.00, 90.00 degrees
Fractional coordinates of all 5 atoms:
Au 0.500 0.000 0.000
Au 0.000 0.000 0.500
Y 0.000 0.000 0.000
Se 0.500 0.500 0.500
Na 0.000 0.500 0.000

Calculated values
- total magnetization (μB/atom) = 0.00
- energy relative to the elements, uncorrected (eV per atom) = 0.502

=====

[2]
Here is crystalline Tb2BeSi4Ni3 at its relaxed geometry from Alexandria. Energies are from PBE-GGA.

Cell lengths 3.945, 3.945, 9.559 Å; angles 90.00, 90.00, 90.00 degrees
Fractional coordinates of all 10 atoms:
Si 0.000 0.500 0.369
Si 0.500 0.000 0.631
Si 0.500 0.500 0.000
Si 0.000 0.000 0.000
Tb 0.000 0.500 0.749
Tb 0.500 0.000 0.251
Be 0.500 0.500 0.500
Ni 0.000 0.500 0.125
Ni 0.000 0.000 0.500
Ni 0.500 0.000 0.875

Calculated values
- total magnetization (μB/atom) = 0.00
- energy relative to the elements, uncorrected (eV per atom) = -0.769